Run P
# AlFeCo2H

A geometry-optimized AlFeCo2H structure (PBE, Alexandria).

a b c (Å): 3.602 3.602 3.734
angles (deg): 90.00 90.00 90.00
Site moments in Bohr magnetons follow the coordinates.
Atoms (fractional coordinates):
H1 0.000 0.000 0.000  -0.01
Co1 0.000 0.500 0.000  0.90
Co2 0.500 0.000 0.000  0.90
Fe1 0.500 0.500 0.500  2.48
Al1 0.000 0.000 0.500  -0.05

Run Q
# AlFeCo2H

A geometry-optimized AlFeCo2H structure (PBE, Alexandria).

a b c (Å): 3.681 3.681 3.550
angles (deg): 90.00 90.00 90.00
Site moments in Bohr magnetons follow the coordinates.
Atoms (fractional coordinates):
H1 0.000 0.000 0.000  -0.01
Co1 0.000 0.500 0.000  0.92
Co2 0.500 0.000 0.000  0.92
Fe1 0.000 0.000 0.500  2.34
Al1 0.500 0.500 0.500  -0.05

Which one sits at the top of the stability order? run Q does.

Run P
# AlFe2CoMo

A geometry-optimized AlFe2CoMo structure (PBE, Alexandria).

a b c (Å): 4.119 4.242 4.119
angles (deg): 90.00 90.00 90.00
Atoms (fractional coordinates):
Mo1 0.500 0.500 0.500
Co1 0.000 0.000 0.000
Fe1 0.000 0.000 0.500
Fe2 0.500 0.000 0.000
Al1 0.000 0.500 0.000

Run Q
# AlFe2CoMo

A geometry-optimized AlFe2CoMo structure (PBE, Alexandria).

a b c (Å): 4.413 4.417 4.413
angles (deg): 90.00 90.00 90.00
Site moments in Bohr magnetons follow the coordinates.
Atoms (fractional coordinates):
Mo1 0.000 0.000 0.000  -0.38
Co1 0.000 0.500 0.000  -0.40
Fe1 0.000 0.000 0.500  1.62
Fe2 0.500 0.000 0.000  1.36
Al1 0.500 0.500 0.500  -0.03

Which one sits at the top of the stability order? run P does.

Run P
# Al3GaCo

A geometry-optimized Al3GaCo structure (PBE, Alexandria).

a b c (Å): 4.756 4.756 4.756
angles (deg): 90.00 90.00 90.00
Site moments in Bohr magnetons follow the coordinates.
Atoms (fractional coordinates):
Co1 0.500 0.500 0.500  1.92
Al1 0.000 0.500 0.000  -0.01
Al2 0.000 0.000 0.500  0.01
Al3 0.500 0.000 0.000  -0.01
Ga1 0.000 0.000 0.000  -0.01

Run Q
# Al3GaCo

A geometry-optimized Al3GaCo structure (PBE, Alexandria).

a b c (Å): 9.275 9.275 9.275
angles (deg): 155.30 84.12 101.18
Atoms (fractional coordinates):
Al1 0.024 0.666 0.359
Al2 0.193 0.334 0.859
Al3 0.807 0.666 0.141
Al4 0.976 0.334 0.641
Al5 0.487 0.333 0.154
Al6 0.321 0.667 0.654
Al7 0.679 0.333 0.346
Al8 0.513 0.667 0.846
Al9 0.151 0.003 0.148
Al10 0.646 0.997 0.648
Al11 0.354 0.003 0.352
Al12 0.849 0.997 0.852
Ga1 0.167 0.160 0.008
Ga2 0.348 0.840 0.508
Ga3 0.652 0.160 0.492
Ga4 0.833 0.840 0.992
Co1 0.246 0.496 0.750
Co2 0.921 0.171 0.750
Co3 0.754 0.504 0.250
Co4 0.079 0.829 0.250

Run R
# Al3GaCo

A geometry-optimized Al3GaCo structure (PBE, Alexandria).

a b c (Å): 4.512 4.512 4.512
angles (deg): 90.00 90.00 90.00
Atoms (fractional coordinates):
Co1 0.000 0.000 0.000
Al1 0.000 0.500 0.000
Al2 0.000 0.000 0.500
Al3 0.500 0.000 0.000
Ga1 0.500 0.500 0.500

Which one sits at the top of the stability order? run Q does.

Run P
# NaAlGa2Co

A geometry-optimized NaAlGa2Co structure (PBE, Alexandria).

a b c (Å): 4.930 4.567 4.930
angles (deg): 90.00 90.00 90.00
Site moments in Bohr magnetons follow the coordinates.
Atoms (fractional coordinates):
Na1 0.500 0.500 0.500  0.00
Co1 0.000 0.500 0.000  1.39
Al1 0.000 0.000 0.000  -0.01
Ga1 0.000 0.000 0.500  0.00
Ga2 0.500 0.000 0.000  0.00

Run Q
# NaAlGa2Co

A geometry-optimized NaAlGa2Co structure (PBE, Alexandria).

a b c (Å): 4.596 4.596 4.548
angles (deg): 90.00 90.00 90.00
Atoms (fractional coordinates):
Na1 0.500 0.500 0.500
Co1 0.000 0.000 0.000
Al1 0.000 0.000 0.500
Ga1 0.000 0.500 0.000
Ga2 0.500 0.000 0.000

Which one sits at the top of the stability order? run Q does.

Run P
# AlCoGe3

A geometry-optimized AlCoGe3 structure (PBE, Alexandria).

a b c (Å): 4.823 4.823 4.823
angles (deg): 90.00 90.00 90.00
Site moments in Bohr magnetons follow the coordinates.
Atoms (fractional coordinates):
Ge1 0.000 0.500 0.000  -0.04
Ge2 0.000 0.000 0.500  -0.02
Ge3 0.500 0.000 0.000  -0.01
Co1 0.500 0.500 0.500  2.01
Al1 0.000 0.000 0.000  -0.01

Run Q
# AlCoGe3

A geometry-optimized AlCoGe3 structure (PBE, Alexandria).

a b c (Å): 4.573 4.573 4.573
angles (deg): 90.00 90.00 90.00
Atoms (fractional coordinates):
Ge1 0.000 0.500 0.000
Ge2 0.000 0.000 0.500
Ge3 0.500 0.000 0.000
Co1 0.000 0.000 0.000
Al1 0.500 0.500 0.500

Which one sits at the top of the stability order? run Q does.

Run P
# Al2Co2Ge

A geometry-optimized Al2Co2Ge structure (PBE, Alexandria).

a b c (Å): 6.092 6.092 3.610
angles (deg): 90.00 90.00 90.00
Atoms (fractional coordinates):
Ge1 0.000 0.000 0.000
Ge2 0.500 0.500 0.000
Co1 0.350 0.850 0.000
Co2 0.850 0.650 0.000
Co3 0.650 0.150 0.000
Co4 0.150 0.350 0.000
Al1 0.153 0.653 0.500
Al2 0.653 0.847 0.500
Al3 0.847 0.347 0.500
Al4 0.347 0.153 0.500

Run Q
# Al2Co2Ge

A geometry-optimized Al2Co2Ge structure (PBE, Alexandria).

a b c (Å): 7.063 7.063 2.712
angles (deg): 90.00 90.00 90.00
Atoms (fractional coordinates):
Ge1 0.000 0.000 0.000
Ge2 0.500 0.500 0.000
Co1 0.157 0.657 0.500
Co2 0.657 0.843 0.500
Co3 0.843 0.343 0.500
Co4 0.343 0.157 0.500
Al1 0.364 0.864 0.000
Al2 0.864 0.636 0.000
Al3 0.636 0.136 0.000
Al4 0.136 0.364 0.000

Which one sits at the top of the stability order? run P does.

Run P
# AlCo2H

A geometry-optimized AlCo2H structure (PBE, Alexandria).

a b c (Å): 5.549 5.549 4.645
angles (deg): 53.33 53.33 90.00
Site moments in Bohr magnetons follow the coordinates.
Atoms (fractional coordinates):
H1 0.500 0.500 0.000  -0.01
H2 0.250 0.750 0.500  -0.01
Co1 0.520 0.125 0.250  0.90
Co2 0.230 0.625 0.250  0.97
Co3 0.375 0.480 0.750  0.89
Co4 0.875 0.770 0.750  0.95
Al1 0.000 0.000 0.000  -0.02
Al2 0.750 0.250 0.500  -0.02

Run Q
# AlCo2H

A geometry-optimized AlCo2H structure (PBE, Alexandria).

a b c (Å): 2.569 2.569 5.757
angles (deg): 90.00 90.00 90.00
Site moments in Bohr magnetons follow the coordinates.
Atoms (fractional coordinates):
H1 0.500 0.500 0.000  -0.01
Co1 0.000 0.000 0.802  0.84
Co2 0.000 0.000 0.198  0.84
Al1 0.500 0.500 0.500  -0.03

Which one sits at the top of the stability order? run P does.

Run P
# AlCo2H

A geometry-optimized AlCo2H structure (PBE, Alexandria).

a b c (Å): 2.662 2.662 6.196
angles (deg): 77.60 77.60 60.00
Site moments in Bohr magnetons follow the coordinates.
Atoms (fractional coordinates):
H1 0.000 0.000 0.000  -0.01
Co1 0.276 0.276 0.172  0.85
Co2 0.724 0.724 0.828  0.85
Al1 0.500 0.500 0.500  -0.03

Run Q
# AlCo2H

A geometry-optimized AlCo2H structure (PBE, Alexandria).

a b c (Å): 3.840 3.840 3.840
angles (deg): 60.00 60.00 60.00
Site moments in Bohr magnetons follow the coordinates.
Atoms (fractional coordinates):
H1 0.000 0.000 0.000  -0.01
Co1 0.250 0.250 0.250  0.55
Co2 0.750 0.750 0.750  0.55
Al1 0.500 0.500 0.500  -0.02

Which one sits at the top of the stability order? run P does.

Run P
# Al3CoH

A geometry-optimized Al3CoH structure (PBE, Alexandria).

a b c (Å): 3.863 3.863 3.863
angles (deg): 90.00 90.00 90.00
Site moments in Bohr magnetons follow the coordinates.
Atoms (fractional coordinates):
H1 0.000 0.000 0.000  0.00
Co1 0.500 0.500 0.500  0.31
Al1 0.000 0.500 0.000  0.00
Al2 0.000 0.000 0.500  0.01
Al3 0.500 0.000 0.000  0.01

Run Q
# Al3CoH

A geometry-optimized Al3CoH structure (PBE, Alexandria).

a b c (Å): 4.444 4.444 4.444
angles (deg): 90.00 90.00 90.00
Site moments in Bohr magnetons follow the coordinates.
Atoms (fractional coordinates):
H1 0.500 0.500 0.500  0.15
Co1 0.000 0.000 0.000  0.05
Al1 0.000 0.500 0.000  0.01
Al2 0.000 0.000 0.500  0.01
Al3 0.500 0.000 0.000  0.02

Which one sits at the top of the stability order? run P does.

Run P
# HfAlCo2H

A geometry-optimized HfAlCo2H structure (PBE, Alexandria).

a b c (Å): 3.017 5.781 6.996
angles (deg): 90.00 90.00 105.12
Atoms (fractional coordinates):
Hf1 0.481 0.963 0.750
Hf2 0.519 0.037 0.250
Al1 0.752 0.503 0.750
Al2 0.248 0.497 0.250
Co1 0.140 0.279 0.952
Co2 0.860 0.721 0.048
Co3 0.140 0.279 0.548
Co4 0.860 0.721 0.452
H1 0.000 0.000 0.000
H2 0.000 0.000 0.500

Run Q
# HfAlCo2H

A geometry-optimized HfAlCo2H structure (PBE, Alexandria).

a b c (Å): 3.907 3.907 3.816
angles (deg): 90.00 90.00 90.00
Atoms (fractional coordinates):
Co1 0.000 0.500 0.000
Co2 0.500 0.000 0.000
Hf1 0.000 0.000 0.500
Al1 0.500 0.500 0.500
H1 0.000 0.000 0.000

Which one sits at the top of the stability order? run P does.

Run P
# Al2CoHIr

A geometry-optimized Al2CoHIr structure (PBE, Alexandria).

a b c (Å): 4.578 2.946 4.578
angles (deg): 90.00 90.00 90.00
Atoms (fractional coordinates):
H1 0.000 0.500 0.000
Ir1 0.500 0.500 0.500
Co1 0.000 0.000 0.000
Al1 0.000 0.000 0.500
Al2 0.500 0.000 0.000

Run Q
# Al2CoHIr

A geometry-optimized Al2CoHIr structure (PBE, Alexandria).

a b c (Å): 4.124 4.124 3.171
angles (deg): 90.00 90.00 90.00
Atoms (fractional coordinates):
H1 0.000 0.000 0.000
Ir1 0.500 0.500 0.500
Co1 0.000 0.000 0.500
Al1 0.000 0.500 0.000
Al2 0.500 0.000 0.000

Which one sits at the top of the stability order? run Q does.

Run P
# AlCo2HIr

A geometry-optimized AlCo2HIr structure (PBE, Alexandria).

a b c (Å): 3.657 3.657 3.830
angles (deg): 90.00 90.00 90.00
Atoms (fractional coordinates):
H1 0.000 0.000 0.000
Ir1 0.000 0.000 0.500
Co1 0.000 0.500 0.000
Co2 0.500 0.000 0.000
Al1 0.500 0.500 0.500

Run Q
# AlCo2HIr

A geometry-optimized AlCo2HIr structure (PBE, Alexandria).

a b c (Å): 3.588 3.588 3.933
angles (deg): 90.00 90.00 90.00
Atoms (fractional coordinates):
H1 0.000 0.000 0.000
Ir1 0.500 0.500 0.500
Co1 0.000 0.500 0.000
Co2 0.500 0.000 0.000
Al1 0.000 0.000 0.500

Which one sits at the top of the stability order? run P does.